This record from Alexandria via LeMat-Bulk describes crystalline CdTc at its relaxed geometry. The functional is PBEsol.

a = 4.508 Å, b = 4.508 Å, c = 4.535 Å
α = 90.00°, β = 90.00°, γ = 120.00°
Positions (direct):
Tc (0.000, 0.000, 0.500)
Tc (0.000, 0.000, 0.000)
Cd (0.333, 0.667, 0.250)
Cd (0.667, 0.333, 0.750)

Values from the calculation:
- crystal system = hexagonal
- energy of formation from the pure elements (meV per atom) = 1023
- Fermi-level density of states (states/eV per atom) = 1.3633
- energy (eV per atom) = -5.209
- E above lowest polymorph (meV/atom) = 710

---

This record from Alexandria via LeMat-Bulk describes crystalline LiAlS2Cl at its relaxed geometry. The functional is PBEsol.

a = 4.430 Å, b = 4.430 Å, c = 4.424 Å
α = 90.00°, β = 90.00°, γ = 90.00°
Positions (direct):
Cl (0.000, 0.000, 0.500)
S (0.500, 0.000, 0.000)
S (0.000, 0.500, 0.000)
Li (0.000, 0.000, 0.000)
Al (0.500, 0.500, 0.500)

Values from the calculation:
- crystal system = tetragonal
- Fermi-level density of states (states/eV per atom) = 0.7655
- energy (eV per atom) = -3.334
- formation energy (no corrections) (meV per atom) = 32.9

---

This record from Alexandria via LeMat-Bulk describes crystalline Cd3Pt30O40 at its relaxed geometry. The functional is PBEsol.

a = 5.655 Å, b = 7.974 Å, c = 20.307 Å
α = 101.16°, β = 90.00°, γ = 90.00°
Positions (direct):
O (0.259, 0.749, 0.996)
O (0.247, 0.050, 0.599)
O (0.753, 0.050, 0.599)
O (0.247, 0.150, 0.799)
O (0.742, 0.549, 0.598)
O (0.248, 0.348, 0.700)
O (0.741, 0.256, 0.500)
O (0.742, 0.451, 0.402)
O (0.259, 0.251, 0.004)
O (0.257, 0.545, 0.101)
O (0.752, 0.149, 0.301)
O (0.741, 0.251, 0.004)
O (0.258, 0.650, 0.801)
O (0.743, 0.545, 0.101)
O (0.248, 0.851, 0.699)
O (0.248, 0.149, 0.301)
O (0.752, 0.652, 0.300)
O (0.259, 0.256, 0.500)
O (0.258, 0.549, 0.598)
O (0.741, 0.057, 0.102)
O (0.752, 0.348, 0.700)
O (0.752, 0.851, 0.699)
O (0.742, 0.650, 0.801)
O (0.741, 0.943, 0.898)
O (0.257, 0.455, 0.899)
O (0.753, 0.850, 0.201)
O (0.741, 0.749, 0.996)
O (0.753, 0.950, 0.401)
O (0.742, 0.350, 0.199)
O (0.753, 0.150, 0.799)
O (0.259, 0.057, 0.102)
O (0.259, 0.943, 0.898)
O (0.248, 0.652, 0.300)
O (0.247, 0.950, 0.401)
O (0.247, 0.850, 0.201)
O (0.258, 0.451, 0.402)
O (0.741, 0.744, 0.500)
O (0.258, 0.350, 0.199)
O (0.259, 0.744, 0.500)
O (0.743, 0.455, 0.899)
Pt (0.500, 0.905, 0.551)
Pt (0.757, 0.500, 0.000)
Pt (0.000, 0.346, 0.448)
Pt (0.000, 0.250, 0.750)
Pt (0.247, 0.902, 0.797)
Pt (0.247, 0.703, 0.399)
Pt (0.000, 0.050, 0.351)
Pt (0.500, 0.103, 0.948)
Pt (0.500, 0.095, 0.449)
Pt (0.500, 0.496, 0.747)
Pt (0.000, 0.455, 0.153)
Pt (0.000, 0.855, 0.950)
Pt (0.753, 0.098, 0.203)
Pt (0.500, 0.706, 0.152)
Pt (0.753, 0.902, 0.797)
Pt (0.247, 0.098, 0.203)
Pt (0.500, 0.298, 0.349)
Pt (0.247, 0.297, 0.601)
Pt (0.000, 0.950, 0.649)
Pt (0.500, 0.294, 0.848)
Pt (0.500, 0.702, 0.651)
Pt (0.000, 0.654, 0.552)
Pt (0.500, 0.504, 0.253)
Pt (0.000, 0.145, 0.050)
Pt (0.500, 0.897, 0.052)
Pt (0.753, 0.703, 0.399)
Pt (0.000, 0.545, 0.847)
Pt (0.000, 0.750, 0.250)
Pt (0.243, 0.500, 0.000)
Pt (0.753, 0.297, 0.601)
Cd (0.500, 0.500, 0.500)
Cd (0.500, 0.302, 0.102)
Cd (0.500, 0.698, 0.898)

Values from the calculation:
- crystal system = monoclinic
- Fermi-level density of states (states/eV per atom) = 0.4511
- energy (eV per atom) = -6.300
- formation energy (no corrections) (meV per atom) = -512.8

---

This record from Alexandria via LeMat-Bulk describes crystalline ZnNi2Ir at its relaxed geometry. The functional is PBEsol.

a = 3.668 Å, b = 3.668 Å, c = 4.414 Å
α = 114.55°, β = 114.55°, γ = 90.00°
Last column: magnetic moment on the atom in μB.
Positions (direct):
Zn (0.500, 0.500, 0.000)  0.00
Ir (0.250, 0.750, 0.500)  0.41
Ni (0.000, 0.000, 0.000)  0.68
Ni (0.750, 0.250, 0.500)  0.40

Values from the calculation:
- crystal system = tetragonal
- energy of formation from the pure elements (meV per atom) = -55
- Fermi-level density of states (states/eV per atom) = 0.9730
- energy (eV per atom) = -5.985

---

This record from Alexandria via LeMat-Bulk describes crystalline ScPtW2 at its relaxed geometry. The functional is PBEsol.

a = 2.842 Å, b = 2.842 Å, c = 9.502 Å
α = 81.40°, β = 81.40°, γ = 60.00°
Positions (direct):
W (0.001, 0.001, 0.996)
W (0.752, 0.752, 0.743)
Pt (0.499, 0.499, 0.504)
Sc (0.248, 0.248, 0.257)

Values from the calculation:
- crystal system = trigonal
- energy of formation from the pure elements (meV per atom) = 116
- Fermi-level density of states (states/eV per atom) = 1.1815
- energy (eV per atom) = -10.180

---

This record from Alexandria via LeMat-Bulk describes crystalline LaCo2Ru at its relaxed geometry. The functional is PBEsol.

a = 2.992 Å, b = 2.992 Å, c = 6.942 Å
α = 90.00°, β = 90.00°, γ = 90.00°
Last column: magnetic moment on the atom in μB.
Positions (direct):
Ru (0.500, 0.500, 0.816)  0.29
La (0.000, 0.000, 0.494)  -0.11
Co (0.000, 0.000, 0.015)  1.56
Co (0.500, 0.500, 0.176)  1.39

Values from the calculation:
- crystal system = tetragonal
- energy of formation from the pure elements (meV per atom) = 332
- Fermi-level density of states (states/eV per atom) = 1.4331
- energy (eV per atom) = -7.416

---

This record from Alexandria via LeMat-Bulk describes crystalline Ag3As4 at its relaxed geometry. The functional is PBEsol.

a = 3.632 Å, b = 3.632 Å, c = 10.152 Å
α = 100.30°, β = 100.30°, γ = 90.00°
Positions (direct):
As (0.139, 0.139, 0.279)
As (0.415, 0.415, 0.829)
As (0.861, 0.861, 0.721)
As (0.585, 0.585, 0.171)
Ag (0.280, 0.280, 0.561)
Ag (0.720, 0.720, 0.439)
Ag (0.000, 0.000, 0.000)

Values from the calculation:
- crystal system = tetragonal
- energy of formation from the pure elements (meV per atom) = 239
- Fermi-level density of states (states/eV per atom) = 0.3098
- energy (eV per atom) = -4.098

---

This record from Alexandria via LeMat-Bulk describes crystalline MgReP at its relaxed geometry. The functional is PBEsol.

a = 3.000 Å, b = 3.000 Å, c = 6.100 Å
α = 90.00°, β = 90.00°, γ = 120.00°
Positions (direct):
Mg (0.000, 0.000, 0.000)
P (0.333, 0.667, 0.630)
Re (0.667, 0.333, 0.370)

Values from the calculation:
- crystal system = trigonal
- energy of formation from the pure elements (meV per atom) = -129
- Fermi-level density of states (states/eV per atom) = 0.5918
- energy (eV per atom) = -7.076

---

This record from Alexandria via LeMat-Bulk describes crystalline Tl3CS at its relaxed geometry. The functional is PBEsol.

a = 5.706 Å, b = 5.706 Å, c = 5.706 Å
α = 90.00°, β = 90.00°, γ = 90.00°
Last column: magnetic moment on the atom in μB.
Positions (direct):
Tl (0.000, 0.500, 0.000)  0.02
Tl (0.500, 0.000, 0.000)  0.02
Tl (0.000, 0.000, 0.500)  0.02
S (0.000, 0.000, 0.000)  -0.01
C (0.500, 0.500, 0.500)  1.03

Values from the calculation:
- crystal system = cubic
- Fermi-level density of states (states/eV per atom) = 0.6606
- energy (eV per atom) = -2.833
- formation energy (no corrections) (meV per atom) = 1550.4

---

This record from Alexandria via LeMat-Bulk describes crystalline Li2YCu at its relaxed geometry. The functional is PBEsol.

a = 3.105 Å, b = 5.279 Å, c = 5.279 Å
α = 117.17°, β = 90.00°, γ = 90.00°
Positions (direct):
Li (0.000, 0.500, 0.000)
Li (0.000, 0.000, 0.500)
Cu (0.500, 0.500, 0.500)
Y (0.500, 0.000, 0.000)

Values from the calculation:
- crystal system = orthorhombic
- energy of formation from the pure elements (meV per atom) = 321
- Fermi-level density of states (states/eV per atom) = 0.4957
- energy (eV per atom) = -3.451
- E above lowest polymorph (meV/atom) = 249

---

This record from Alexandria via LeMat-Bulk describes crystalline Ir2PbICl at its relaxed geometry. The functional is PBEsol.

a = 5.072 Å, b = 5.072 Å, c = 6.006 Å
α = 90.00°, β = 90.00°, γ = 90.00°
Last column: magnetic moment on the atom in μB.
Positions (direct):
I (0.000, 0.000, 0.500)  0.31
Cl (0.500, 0.500, 0.500)  0.42
Ir (0.000, 0.500, 0.000)  1.26
Ir (0.500, 0.000, 0.000)  1.26
Pb (0.000, 0.000, 0.000)  -0.02

Values from the calculation:
- crystal system = tetragonal
- Fermi-level density of states (states/eV per atom) = 2.0736
- energy (eV per atom) = -3.499
- formation energy (no corrections) (meV per atom) = 1985.3

---

This record from Alexandria via LeMat-Bulk describes crystalline YMgCu at its relaxed geometry. The functional is PBEsol.

a = 3.917 Å, b = 7.380 Å, c = 7.380 Å
α = 120.00°, β = 90.00°, γ = 90.00°
Positions (direct):
Cu (0.000, 0.667, 0.333)
Cu (0.500, 0.000, 0.000)
Cu (0.000, 0.333, 0.667)
Y (0.500, 0.586, 0.586)
Y (0.500, 0.000, 0.414)
Y (0.500, 0.414, 0.000)
Mg (0.000, 0.756, 0.000)
Mg (0.000, 0.000, 0.756)
Mg (0.000, 0.244, 0.244)

Values from the calculation:
- crystal system = hexagonal
- energy of formation from the pure elements (meV per atom) = -197
- Fermi-level density of states (states/eV per atom) = 0.8580
- energy (eV per atom) = -4.489
- E above lowest polymorph (meV/atom) = 0